--- one ---
First-principles (PBE) data for a relaxed structure of ScInSi, as listed in Alexandria via LeMat-Bulk.

Summary:
The space group is I4mm. The size of the total moment is 0.000 μB/atom.

Cell lengths 6.037, 6.037, 6.037 Å; angles 148.02, 148.02, 45.86 degrees
Fractional coordinates of all 3 atoms:
Sc  0.000  0.000  0.000
In  0.302  0.302  0.000
Si  0.640  0.640  0.000

***

--- two ---
First-principles (PBE) data for a relaxed structure of ScInSi, as listed in Alexandria via LeMat-Bulk.

Summary:
The space group is Fmm2. The size of the total moment is 0.000 μB/atom.

Cell lengths 6.176, 5.956, 3.392 Å; angles 77.37, 70.23, 32.40 degrees
Fractional coordinates of all 3 atoms:
Sc  0.000  0.000  0.000
In  0.697  0.697  0.303
Si  0.355  0.355  0.645

***

Most stable: two

***

--- one ---
First-principles (PBE) data for a relaxed structure of ScIn3Si, as listed in Alexandria via LeMat-Bulk.

Summary:
The space group is Pm-3m. The size of the total moment is 0.000 μB/atom.

Cell lengths 5.183, 5.183, 5.183 Å; angles 90.00, 90.00, 90.00 degrees
Fractional coordinates of all 5 atoms:
Sc  0.000  0.000  0.000
In  0.000  0.500  0.500
In  0.500  0.000  0.500
In  0.500  0.500  0.000
Si  0.500  0.500  0.500

***

--- two ---
First-principles (PBE) data for a relaxed structure of ScIn3Si, as listed in Alexandria via LeMat-Bulk.

Summary:
The space group is Pm-3m. The size of the total moment is 0.052 μB/atom.

Cell lengths 5.510, 5.510, 5.510 Å; angles 90.00, 90.00, 90.00 degrees
Fractional coordinates of all 5 atoms:
Sc  0.000  0.000  0.000
In  0.000  0.000  0.500
In  0.000  0.500  0.000
In  0.500  0.000  0.000
Si  0.500  0.500  0.500

***

Most stable: one

***

--- one ---
First-principles (PBE) data for a relaxed structure of Sm3ScIn2, as listed in Alexandria via LeMat-Bulk.

Summary:
The space group is Cmmm. The size of the total moment is 0.000 μB/atom.

Cell lengths 8.040, 8.040, 4.497 Å; angles 90.00, 90.00, 144.35 degrees
Fractional coordinates of all 6 atoms:
Sm  0.000  0.000  0.000
Sm  0.328  0.672  0.000
Sm  0.672  0.328  0.000
Sc  0.500  0.500  0.500
In  0.153  0.847  0.500
In  0.847  0.153  0.500

***

--- two ---
First-principles (PBE) data for a relaxed structure of Sm3ScIn2, as listed in Alexandria via LeMat-Bulk.

Summary:
The space group is Ibam. The size of the total moment is 0.291 μB/atom.

Cell lengths 9.503, 9.503, 9.503 Å; angles 139.51, 58.45, 139.71 degrees
Fractional coordinates of all 12 atoms:
Sm  0.176  0.749  0.925
Sm  0.250  0.250  0.000
Sm  0.324  0.249  0.574
Sm  0.676  0.751  0.426
Sm  0.750  0.750  0.000
Sm  0.824  0.251  0.075
Sc  0.250  0.750  0.500
Sc  0.750  0.250  0.500
In  0.131  0.264  0.395
In  0.369  0.764  0.133
In  0.631  0.236  0.867
In  0.869  0.736  0.605

***

Most stable: one

***

--- one ---
First-principles (PBE) data for a relaxed structure of Sm2ScIn, as listed in Alexandria via LeMat-Bulk.

Summary:
The space group is P4/mmm. The size of the total moment is 0.000 μB/atom.

Cell lengths 4.783, 4.783, 4.837 Å; angles 90.00, 90.00, 90.00 degrees
Fractional coordinates of all 4 atoms:
Sm  0.000  0.500  0.000
Sm  0.500  0.000  0.000
Sc  0.000  0.000  0.500
In  0.500  0.500  0.500

***

--- two ---
First-principles (PBE) data for a relaxed structure of Sm2ScIn, as listed in Alexandria via LeMat-Bulk.

Summary:
The space group is R3m. The size of the total moment is 0.072 μB/atom.

Cell lengths 11.139, 11.139, 11.139 Å; angles 18.20, 18.20, 18.20 degrees
Fractional coordinates of all 4 atoms:
Sm  0.000  0.000  0.000
Sm  0.166  0.166  0.166
Sc  0.417  0.417  0.417
In  0.583  0.583  0.583

***

Most stable: one